Below is an optimized crystal structure of ZnCd2Co, with properties calculated at the PBE-GGA level.

Geometry as POSCAR:
```
ZnCd2Co
1.0
5.177 -1.523 0.000
5.177 1.523 0.000
-1.734 0.000 4.278
Zn Cd Co
1 2 1
Direct
0.000 0.000 0.000 Zn
0.566 0.566 0.563 Cd
0.779 0.779 0.244 Cd
0.303 0.303 0.758 Co
```

Properties
raw total energy	-9.53	eV/f.u.
space-group type	No. 8
energy of formation from the pure elements	3.9	kcal/mol of atoms
calculated volume	67.4	Å³ per cell
total magnetization	0.20	μB per atom
mass density	8.60	g/cm³

Below is an optimized crystal structure of Sr2AgSe, with properties calculated at the PBE-GGA level.

Geometry as POSCAR:
```
Sr2AgSe
1.0
2.212 1.277 7.877
-2.212 1.277 7.877
0.000 -2.554 7.877
Sr Ag Se
2 1 1
Direct
0.000 0.000 0.000 Sr
0.163 0.163 0.163 Sr
0.581 0.581 0.581 Ag
0.415 0.415 0.415 Se
```

Properties
raw total energy	-13.66	eV/f.u.
space-group type	No. 160
calculated volume	133.5	Å³ per cell
total magnetization	0.00	μB per atom
mass density	4.50	g/cm³
ΔE_f (raw)	-95.6	kJ per mole of atoms